(1)
# TmThSn

An optimized crystal structure of TmThSn (GGA-PBE, the Alexandria database).

Cell lengths 8.122, 4.464, 9.802 Å; angles 90.00, 90.00, 90.00 degrees
Element x y z (fractional)
1 Tm 0.137 0.250 0.062
2 Tm 0.363 0.750 0.562
3 Tm 0.637 0.250 0.438
4 Tm 0.863 0.750 0.938
5 Th 0.039 0.250 0.663
6 Th 0.461 0.750 0.163
7 Th 0.539 0.250 0.837
8 Th 0.961 0.750 0.337
9 Sn 0.243 0.750 0.860
10 Sn 0.257 0.250 0.360
11 Sn 0.743 0.750 0.640
12 Sn 0.757 0.250 0.140

Calculated values
Space group: Pnma (62)
Excess energy over the best structure of this formula in the dataset in meV/atom: 0.0
ΔH_f (0 K) in meV per atom: -494
Electronic total energy in eV per cell: -69.51

***

(2)
# Tm3Th12Sn5

An optimized crystal structure of Tm3Th12Sn5 (GGA-PBE, the Alexandria database).

Cell lengths 16.013, 16.013, 16.013 Å; angles 109.47, 109.47, 109.47 degrees
Element x y z (fractional)
1 Tm 0.125 0.250 0.375
2 Tm 0.125 0.375 0.750
3 Tm 0.250 0.375 0.125
4 Tm 0.250 0.875 0.625
5 Tm 0.375 0.125 0.250
6 Tm 0.375 0.750 0.125
7 Tm 0.625 0.250 0.875
8 Tm 0.625 0.875 0.750
9 Tm 0.750 0.125 0.375
10 Tm 0.750 0.625 0.875
11 Tm 0.875 0.625 0.250
12 Tm 0.875 0.750 0.625
13 Th 0.060 0.226 0.130
14 Th 0.060 0.334 0.931
15 Th 0.069 0.630 0.403
16 Th 0.069 0.940 0.666
17 Th 0.097 0.726 0.666
18 Th 0.097 0.870 0.431
19 Th 0.130 0.060 0.226
20 Th 0.130 0.569 0.903
21 Th 0.166 0.226 0.597
22 Th 0.166 0.440 0.569
23 Th 0.226 0.130 0.060
24 Th 0.226 0.597 0.166
25 Th 0.274 0.334 0.903
26 Th 0.274 0.440 0.370
27 Th 0.334 0.903 0.274
28 Th 0.334 0.931 0.060
29 Th 0.370 0.274 0.440
30 Th 0.370 0.597 0.931
31 Th 0.403 0.069 0.630
32 Th 0.403 0.834 0.774
33 Th 0.431 0.097 0.870
34 Th 0.431 0.834 0.560
35 Th 0.440 0.370 0.274
36 Th 0.440 0.569 0.166
37 Th 0.560 0.431 0.834
38 Th 0.560 0.630 0.726
39 Th 0.569 0.166 0.440
40 Th 0.569 0.903 0.130
41 Th 0.597 0.166 0.226
42 Th 0.597 0.931 0.370
43 Th 0.630 0.403 0.069
44 Th 0.630 0.726 0.560
45 Th 0.666 0.069 0.940
46 Th 0.666 0.097 0.726
47 Th 0.726 0.560 0.630
48 Th 0.726 0.666 0.097
49 Th 0.774 0.403 0.834
50 Th 0.774 0.870 0.940
51 Th 0.834 0.560 0.431
52 Th 0.834 0.774 0.403
53 Th 0.870 0.431 0.097
54 Th 0.870 0.940 0.774
55 Th 0.903 0.130 0.569
56 Th 0.903 0.274 0.334
57 Th 0.931 0.060 0.334
58 Th 0.931 0.370 0.597
59 Th 0.940 0.666 0.069
60 Th 0.940 0.774 0.870
61 Sn 0.000 0.000 0.000
62 Sn 0.000 0.000 0.500
63 Sn 0.000 0.500 0.000
64 Sn 0.000 0.500 0.500
65 Sn 0.125 0.750 0.875
66 Sn 0.125 0.875 0.250
67 Sn 0.250 0.125 0.875
68 Sn 0.250 0.625 0.375
69 Sn 0.375 0.250 0.625
70 Sn 0.375 0.625 0.750
71 Sn 0.500 0.000 0.000
72 Sn 0.500 0.000 0.500
73 Sn 0.500 0.500 0.000
74 Sn 0.500 0.500 0.500
75 Sn 0.625 0.375 0.250
76 Sn 0.625 0.750 0.375
77 Sn 0.750 0.375 0.625
78 Sn 0.750 0.875 0.125
79 Sn 0.875 0.125 0.750
80 Sn 0.875 0.250 0.125

Calculated values
Space group: Ia-3d (230)
ΔH_f (0 K) in meV per atom: 577
Electronic total energy in eV per cell: -443.74

***

(3)
# Tm5ThSn3

An optimized crystal structure of Tm5ThSn3 (GGA-PBE, the Alexandria database).

Cell lengths 11.005, 11.005, 11.005 Å; angles 140.88, 140.88, 56.52 degrees
Element x y z (fractional)
1 Tm 0.000 0.000 0.000
2 Tm 0.072 0.572 0.894
3 Tm 0.178 0.072 0.500
4 Tm 0.322 0.822 0.894
5 Tm 0.428 0.322 0.500
6 Tm 0.500 0.500 0.000
7 Tm 0.572 0.678 0.500
8 Tm 0.678 0.178 0.106
9 Tm 0.822 0.928 0.500
10 Tm 0.928 0.428 0.106
11 Th 0.250 0.750 0.500
12 Th 0.750 0.250 0.500
13 Sn 0.129 0.371 0.500
14 Sn 0.250 0.250 0.000
15 Sn 0.371 0.871 0.242
16 Sn 0.629 0.129 0.758
17 Sn 0.750 0.750 0.000
18 Sn 0.871 0.629 0.500

Calculated values
Space group: I4/mcm (140)
ΔH_f (0 K) in meV per atom: -189
Electronic total energy in eV per cell: -86.97

***

(4)
# TmThSn

An optimized crystal structure of TmThSn (GGA-PBE, the Alexandria database).

Cell lengths 9.205, 9.205, 9.205 Å; angles 151.50, 151.50, 40.75 degrees
Element x y z (fractional)
1 Tm 0.175 0.175 0.000
2 Tm 0.825 0.825 0.000
3 Th 0.000 0.500 0.500
4 Th 0.500 0.000 0.500
5 Sn 0.354 0.354 0.000
6 Sn 0.646 0.646 0.000

Calculated values
Space group: I4/mmm (139)
Excess energy over the best structure of this formula in the dataset in meV/atom: 17.9
ΔH_f (0 K) in meV per atom: -476
Electronic total energy in eV per cell: -34.65

***

(5)
# Tm2ThZn2Sn2

An optimized crystal structure of Tm2ThZn2Sn2 (GGA-PBE, the Alexandria database).

Cell lengths 10.007, 10.007, 10.007 Å; angles 26.61, 26.61, 26.61 degrees
Element x y z (fractional)
1 Tm 0.130 0.130 0.130
2 Tm 0.870 0.870 0.870
3 Th 0.000 0.000 0.000
4 Zn 0.389 0.389 0.389
5 Zn 0.611 0.611 0.611
6 Sn 0.254 0.254 0.254
7 Sn 0.746 0.746 0.746

Calculated values
Space group: R-3m (166)
ΔH_f (0 K) in meV per atom: -284
Electronic total energy in eV per cell: -28.90

***

(6)
# TmThZnSn

An optimized crystal structure of TmThZnSn (GGA-PBE, the Alexandria database).

Cell lengths 5.259, 5.259, 5.259 Å; angles 60.00, 60.00, 60.00 degrees
Element x y z (fractional)
1 Tm 0.000 0.000 0.000
2 Th 0.500 0.500 0.500
3 Zn 0.750 0.750 0.750
4 Sn 0.250 0.250 0.250

Calculated values
Space group: F-43m (216)
ΔH_f (0 K) in meV per atom: -350
Electronic total energy in eV per cell: -18.57

***

(7)
# ThU2Sn9

An optimized crystal structure of ThU2Sn9 (GGA-PBE, the Alexandria database).

Cell lengths 4.679, 4.679, 13.958 Å; angles 90.00, 90.00, 90.00 degrees
Element x y z (fractional)
1 Th 0.000 0.000 0.000
2 U 0.000 0.000 0.337
3 U 0.000 0.000 0.663
4 Sn 0.000 0.500 0.173
5 Sn 0.000 0.500 0.500
6 Sn 0.000 0.500 0.827
7 Sn 0.500 0.000 0.173
8 Sn 0.500 0.000 0.500
9 Sn 0.500 0.000 0.827
10 Sn 0.500 0.500 0.000
11 Sn 0.500 0.500 0.336
12 Sn 0.500 0.500 0.664

Calculated values
Space group: P4/mmm (123)
ΔH_f (0 K) in meV per atom: -239
Electronic total energy in eV per cell: -68.89

***

(8)
# ThVSn

An optimized crystal structure of ThVSn (GGA-PBE, the Alexandria database).

Cell lengths 6.359, 6.359, 6.359 Å; angles 148.15, 148.15, 45.67 degrees
Element x y z (fractional)
1 Th 0.000 0.000 0.000
2 V 0.670 0.670 0.000
3 Sn 0.293 0.293 0.000

Calculated values
Space group: I4mm (107)
ΔH_f (0 K) in meV per atom: 27
Electronic total energy in eV per cell: -20.46

***

(9)
# ThVSn2

An optimized crystal structure of ThVSn2 (GGA-PBE, the Alexandria database).

Cell lengths 11.184, 11.184, 11.184 Å; angles 16.62, 16.62, 16.62 degrees
Element x y z (fractional)
1 Th 0.000 0.000 0.000
2 V 0.500 0.500 0.500
3 Sn 0.100 0.100 0.100
4 Sn 0.900 0.900 0.900

Calculated values
Space group: R-3m (166)
ΔH_f (0 K) in meV per atom: 303
Electronic total energy in eV per cell: -23.33

***

(10)
# YThSn2

An optimized crystal structure of YThSn2 (GGA-PBE, the Alexandria database).

Cell lengths 3.526, 3.526, 8.902 Å; angles 90.00, 90.00, 90.00 degrees
Element x y z (fractional)
1 Y 0.000 0.000 0.000
2 Th 0.000 0.000 0.500
3 Sn 0.500 0.500 0.242
4 Sn 0.500 0.500 0.758

Calculated values
Space group: P4/mmm (123)
Excess energy over the best structure of this formula in the dataset in meV/atom: 67.9
ΔH_f (0 K) in meV per atom: -571
Electronic total energy in eV per cell: -24.18

***

(11)
# YThSn2

An optimized crystal structure of YThSn2 (GGA-PBE, the Alexandria database).

Cell lengths 10.498, 10.498, 10.498 Å; angles 19.64, 19.64, 19.64 degrees
Element x y z (fractional)
1 Y 0.000 0.000 0.000
2 Th 0.500 0.500 0.500
3 Sn 0.253 0.253 0.253
4 Sn 0.747 0.747 0.747

Calculated values
Space group: R-3m (166)
Excess energy over the best structure of this formula in the dataset in meV/atom: 226.9
ΔH_f (0 K) in meV per atom: -412
Electronic total energy in eV per cell: -23.54

***

(12)
# YThSn2

An optimized crystal structure of YThSn2 (GGA-PBE, the Alexandria database).

Cell lengths 4.982, 4.982, 4.471 Å; angles 90.00, 90.00, 90.00 degrees
Element x y z (fractional)
1 Y 0.000 0.000 0.000
2 Th 0.500 0.500 0.000
3 Sn 0.000 0.500 0.500
4 Sn 0.500 0.000 0.500

Calculated values
Space group: P4/mmm (123)
Excess energy over the best structure of this formula in the dataset in meV/atom: 75.7
ΔH_f (0 K) in meV per atom: -564
Electronic total energy in eV per cell: -24.14

***

(13)
# YTh2Sn

An optimized crystal structure of YTh2Sn (GGA-PBE, the Alexandria database).

Cell lengths 12.522, 12.522, 12.522 Å; angles 16.08, 16.08, 16.08 degrees
Element x y z (fractional)
1 Y 0.000 0.000 0.000
2 Th 0.413 0.413 0.413
3 Th 0.587 0.587 0.587
4 Sn 0.500 0.500 0.500

Calculated values
Space group: R-3m (166)
Excess energy over the best structure of this formula in the dataset in meV/atom: 510.3
ΔH_f (0 K) in meV per atom: 162
Electronic total energy in eV per cell: -24.66

***

(14)
# YTh5Sn5

An optimized crystal structure of YTh5Sn5 (GGA-PBE, the Alexandria database).

Cell lengths 7.695, 7.695, 8.913 Å; angles 107.10, 107.10, 48.49 degrees
Element x y z (fractional)
1 Y 0.000 0.000 0.000
2 Th 0.000 0.000 0.500
3 Th 0.335 0.335 0.664
4 Th 0.339 0.339 0.176
5 Th 0.661 0.661 0.824
6 Th 0.665 0.665 0.336
7 Sn 0.165 0.165 0.330
8 Sn 0.169 0.169 0.838
9 Sn 0.500 0.500 0.000
10 Sn 0.831 0.831 0.162
11 Sn 0.835 0.835 0.670

Calculated values
Space group: C2/m (12)
ΔH_f (0 K) in meV per atom: -310
Electronic total energy in eV per cell: -66.98

***

(15)
# Y2ThSn

An optimized crystal structure of Y2ThSn (GGA-PBE, the Alexandria database).

Cell lengths 5.454, 5.454, 5.454 Å; angles 60.00, 60.00, 60.00 degrees
Element x y z (fractional)
1 Y 0.250 0.250 0.250
2 Y 0.750 0.750 0.750
3 Th 0.000 0.000 0.000
4 Sn 0.500 0.500 0.500

Calculated values
Space group: Fm-3m (225)
Excess energy over the best structure of this formula in the dataset in meV/atom: 196.4
ΔH_f (0 K) in meV per atom: -170
Electronic total energy in eV per cell: -25.03

***

(16)
# YTh3Sn12

An optimized crystal structure of YTh3Sn12 (GGA-PBE, the Alexandria database).

Cell lengths 4.788, 4.788, 18.622 Å; angles 90.00, 90.00, 90.00 degrees
Element x y z (fractional)
1 Y 0.000 0.000 0.000
2 Th 0.000 0.000 0.249
3 Th 0.000 0.000 0.500
4 Th 0.000 0.000 0.751
5 Sn 0.000 0.500 0.122
6 Sn 0.000 0.500 0.374
7 Sn 0.000 0.500 0.626
8 Sn 0.000 0.500 0.878
9 Sn 0.500 0.000 0.122
10 Sn 0.500 0.000 0.374
11 Sn 0.500 0.000 0.626
12 Sn 0.500 0.000 0.878
13 Sn 0.500 0.500 0.000
14 Sn 0.500 0.500 0.248
15 Sn 0.500 0.500 0.500
16 Sn 0.500 0.500 0.752

Calculated values
Space group: P4/mmm (123)
ΔH_f (0 K) in meV per atom: -446
Electronic total energy in eV per cell: -83.89

***

(17)
# YThSn6

An optimized crystal structure of YThSn6 (GGA-PBE, the Alexandria database).

Cell lengths 4.743, 4.743, 9.434 Å; angles 90.00, 90.00, 90.00 degrees
Element x y z (fractional)
1 Y 0.000 0.000 0.000
2 Th 0.000 0.000 0.500
3 Sn 0.000 0.500 0.246
4 Sn 0.000 0.500 0.754
5 Sn 0.500 0.000 0.246
6 Sn 0.500 0.000 0.754
7 Sn 0.500 0.500 0.000
8 Sn 0.500 0.500 0.500

Calculated values
Space group: P4/mmm (123)
ΔH_f (0 K) in meV per atom: -436
Electronic total energy in eV per cell: -41.39

***

(18)
# YTh2Sn

An optimized crystal structure of YTh2Sn (GGA-PBE, the Alexandria database).

Cell lengths 4.790, 4.790, 5.112 Å; angles 90.00, 90.00, 90.00 degrees
Element x y z (fractional)
1 Y 0.000 0.000 0.000
2 Th 0.000 0.500 0.500
3 Th 0.500 0.000 0.500
4 Sn 0.500 0.500 0.000

Calculated values
Space group: P4/mmm (123)
Excess energy over the best structure of this formula in the dataset in meV/atom: 0.0
ΔH_f (0 K) in meV per atom: -349
Electronic total energy in eV per cell: -26.70

***

(19)
# Y2ThSn

An optimized crystal structure of Y2ThSn (GGA-PBE, the Alexandria database).

Cell lengths 4.917, 4.917, 4.762 Å; angles 90.00, 90.00, 90.00 degrees
Element x y z (fractional)
1 Y 0.000 0.500 0.000
2 Y 0.500 0.000 0.000
3 Th 0.000 0.000 0.500
4 Sn 0.500 0.500 0.500

Calculated values
Space group: P4/mmm (123)
Excess energy over the best structure of this formula in the dataset in meV/atom: 0.0
ΔH_f (0 K) in meV per atom: -367
Electronic total energy in eV per cell: -25.82

***

(20)
# YThSn2

An optimized crystal structure of YThSn2 (GGA-PBE, the Alexandria database).

Cell lengths 4.469, 6.236, 6.236 Å; angles 42.27, 90.00, 90.00 degrees
Element x y z (fractional)
1 Y 0.000 0.000 0.000
2 Th 0.500 0.271 0.271
3 Sn 0.000 0.730 0.730
4 Sn 0.500 0.543 0.543

Calculated values
Space group: Amm2 (38)
Excess energy over the best structure of this formula in the dataset in meV/atom: 0.0
ΔH_f (0 K) in meV per atom: -639
Electronic total energy in eV per cell: -24.45

***

(21)
# YTh3Sn5

An optimized crystal structure of YTh3Sn5 (GGA-PBE, the Alexandria database).

Cell lengths 9.582, 9.582, 6.443 Å; angles 90.00, 90.00, 120.00 degrees
Element x y z (fractional)
1 Y 0.000 0.000 0.000
2 Y 0.000 0.000 0.500
3 Th 0.000 0.383 0.250
4 Th 0.000 0.617 0.750
5 Th 0.383 0.000 0.250
6 Th 0.383 0.383 0.750
7 Th 0.617 0.000 0.750
8 Th 0.617 0.617 0.250
9 Sn 0.000 0.278 0.750
10 Sn 0.000 0.722 0.250
11 Sn 0.278 0.000 0.750
12 Sn 0.278 0.278 0.250
13 Sn 0.333 0.667 0.000
14 Sn 0.333 0.667 0.500
15 Sn 0.667 0.333 0.000
16 Sn 0.667 0.333 0.500
17 Sn 0.722 0.000 0.250
18 Sn 0.722 0.722 0.750

Calculated values
Space group: P6_3/mcm (193)
ΔH_f (0 K) in meV per atom: -595
Electronic total energy in eV per cell: -108.18

***

(22)
# Y2ThSn

An optimized crystal structure of Y2ThSn (GGA-PBE, the Alexandria database).

Cell lengths 3.858, 3.858, 7.865 Å; angles 90.00, 90.00, 90.00 degrees
Element x y z (fractional)
1 Y 0.000 0.000 0.222
2 Y 0.000 0.000 0.778
3 Th 0.500 0.500 0.500
4 Sn 0.500 0.500 0.000

Calculated values
Space group: P4/mmm (123)
Excess energy over the best structure of this formula in the dataset in meV/atom: 47.3
ΔH_f (0 K) in meV per atom: -320
Electronic total energy in eV per cell: -25.63